Record 1
HfMgNO | PBE-GGA | optimized geometry

Computed properties:
volume: 100.6 Å³ per cell

Lattice parameters (Å, degrees): 4.392 3.527 6.495 90.00 90.00 90.00
Space group Pmma (No. 51)
Unique sites:
Hf1 0.250 0.000 0.149 x2
Mg1 0.250 0.500 0.661 x2
N1 0.250 0.000 0.825 x2
O1 0.250 0.500 0.352 x2

Record 2
HfMgNO | PBE-GGA | optimized geometry

Computed properties:
volume: 92.2 Å³ per cell

Lattice parameters (Å, degrees): 3.505 3.505 7.502 90.00 90.00 90.00
Space group P4/nmm (No. 129, origin choice 2)
Unique sites:
Hf1 0.250 0.250 0.157 x2
Mg1 0.250 0.750 0.500 x2
N1 0.250 0.250 0.677 x2
O1 0.250 0.750 0.000 x2

Record 3
HfMgNO | PBE-GGA | optimized geometry

Computed properties:
volume: 100.6 Å³ per cell

Lattice parameters (Å, degrees): 4.390 3.517 6.516 90.00 90.00 90.00
Space group Pmma (No. 51)
Unique sites:
Hf1 0.250 0.000 0.159 x2
Mg1 0.250 0.500 0.649 x2
N1 0.250 0.500 0.330 x2
O1 0.250 0.000 0.813 x2

Record 4
HfMgNO | PBE-GGA | optimized geometry

Computed properties:
volume: 43.2 Å³ per cell

Lattice parameters (Å, degrees): 3.128 3.128 4.418 90.00 90.00 90.00
Space group P4/mmm (No. 123)
Unique sites:
Hf1 0.000 0.000 0.000 x1
Mg1 0.500 0.500 0.500 x1
N1 0.500 0.500 0.000 x1
O1 0.000 0.000 0.500 x1

Record 5
NaHfMg | PBE-GGA | optimized geometry

Computed properties:
volume: 340.2 Å³ per cell

Lattice parameters (Å, degrees): 6.981 6.981 6.981 90.00 90.00 90.00
Space group F-43m (No. 216)
Unique sites:
Na1 0.000 0.000 0.000 x4
Hf1 0.000 0.000 0.500 x4
Mg1 0.250 0.250 0.750 x4

Record 6
HfMgNi | PBE-GGA | optimized geometry

Computed properties:
volume: 248.5 Å³ per cell

Lattice parameters (Å, degrees): 6.287 6.287 6.287 90.00 90.00 90.00
Space group F-43m (No. 216)
Unique sites:
Hf1 0.000 0.000 0.000 x4
Mg1 0.250 0.250 0.750 x4
Ni1 0.250 0.250 0.250 x4

Record 7
HfMg2Ni | PBE-GGA | optimized geometry

Computed properties:
volume: 275.1 Å³ per cell

Lattice parameters (Å, degrees): 6.504 6.504 6.504 90.00 90.00 90.00
Space group F-43m (No. 216)
Unique sites:
Hf1 0.000 0.000 0.000 x4
Mg1 0.000 0.000 0.500 x4
Mg2 0.250 0.250 0.250 x4
Ni1 0.250 0.250 0.750 x4

Record 8
HfMg2Ni | PBE-GGA | optimized geometry

Computed properties:
volume: 274.8 Å³ per cell

Lattice parameters (Å, degrees): 6.501 6.501 6.501 90.00 90.00 90.00
Space group F-43m (No. 216)
Unique sites:
Hf1 0.000 0.000 0.000 x4
Mg1 0.000 0.000 0.500 x4
Mg2 0.250 0.250 0.750 x4
Ni1 0.250 0.250 0.250 x4

Record 9
HfMgNiPb | PBE-GGA | optimized geometry

Computed properties:
volume: 311.8 Å³ per cell

Lattice parameters (Å, degrees): 6.781 6.781 6.781 90.00 90.00 90.00
Space group F-43m (No. 216)
Unique sites:
Hf1 0.000 0.000 0.000 x4
Mg1 0.250 0.250 0.750 x4
Ni1 0.000 0.000 0.500 x4
Pb1 0.250 0.250 0.250 x4

Record 10
HfMgNiPb | PBE-GGA | optimized geometry

Computed properties:
volume: 305.0 Å³ per cell

Lattice parameters (Å, degrees): 6.731 6.731 6.731 90.00 90.00 90.00
Space group F-43m (No. 216)
Unique sites:
Hf1 0.000 0.000 0.000 x4
Mg1 0.250 0.250 0.250 x4
Ni1 0.250 0.250 0.750 x4
Pb1 0.000 0.000 0.500 x4

Record 11
HfMgNi2Sb2 | PBE-GGA | optimized geometry

Computed properties:
volume: 452.2 Å³ per cell

Lattice parameters (Å, degrees): 6.089 6.089 12.198 90.00 90.00 90.00
Space group I-42d (No. 122)
Unique sites:
Hf1 0.000 0.000 0.000 x4
Mg1 0.000 0.000 0.500 x4
Ni1 0.239 0.750 0.125 x8
Sb1 0.000 0.000 0.254 x8

Record 12
HfMgSiNi | PBE-GGA | optimized geometry

Computed properties:
volume: 248.2 Å³ per cell

Lattice parameters (Å, degrees): 6.284 6.284 6.284 90.00 90.00 90.00
Space group F-43m (No. 216)
Unique sites:
Hf1 0.000 0.000 0.000 x4
Mg1 0.250 0.250 0.750 x4
Si1 0.250 0.250 0.250 x4
Ni1 0.000 0.000 0.500 x4

Number 1: total DFT energy (no corrections) -64.65 eV/cell. Number 2: total DFT energy (no corrections) -60.10 eV/cell. Number 3: total DFT energy (no corrections) -64.43 eV/cell. Number 4: total DFT energy (no corrections) -32.74 eV/cell. Number 5: total DFT energy (no corrections) -37.44 eV/cell. Number 6: total DFT energy (no corrections) -59.86 eV/cell. Number 7: total DFT energy (no corrections) -75.09 eV/cell. Number 8: total DFT energy (no corrections) -75.09 eV/cell. Number 9: total DFT energy (no corrections) -78.70 eV/cell. Number 10: total DFT energy (no corrections) -80.14 eV/cell. Number 11: total DFT energy (no corrections) -137.82 eV/cell. Number 12: total DFT energy (no corrections) -90.51 eV/cell.